16
Lattice="7.401 0.000 0.000 0.000 7.401 0.000 0.000 0.000 6.332" Properties=species:S:1:pos:R:3 comment="La2CoTc, relaxed, DFT PBE-GGA" relative_energy_mev_per_atom=451 volume_a3_per_cell=347 formation_enthalpy_0k_ev_per_atom=0.45 space_group="I-42d, No. 122" final_energy_ev_per_cell=-102.075 pbc="T T T"
La 1.756 1.850 0.792
La 1.850 5.457 2.375
La 1.850 5.645 5.541
La 1.944 1.850 3.958
La 5.457 5.551 3.958
La 5.551 1.756 5.541
La 5.551 1.944 2.375
La 5.645 5.551 0.792
Co 0.000 0.000 0.000
Co 0.000 3.701 1.583
Co 3.701 0.000 4.749
Co 3.701 3.701 3.166
Tc 0.000 0.000 3.166
Tc 0.000 3.701 4.749
Tc 3.701 0.000 1.583
Tc 3.701 3.701 0.000